Entry 1:
Li2CeMnS4 | PBE-GGA | relaxed

The structure belongs to space group Imma (No. 74); the cell edges are 7.404, 7.868 and 10.547 Å and the angles 90.00°, 90.00° and 90.00°. The asymmetric unit holds Li at (0.000, 0.000, 0.000), Li at (0.250, 0.250, 0.250), Ce at (0.000, 0.000, 0.500), Mn at (0.250, 0.250, 0.750), S at (0.000, 0.024, 0.756) and S at (0.243, 0.250, 0.001).

The raw formation energy is -1.3061 eV per atom. For the density of states at the Fermi level, the calculation gives 0.382 states/eV per atom.

***

Entry 2:
LiCeMnS3 | PBE-GGA | relaxed

The structure belongs to space group P2_1/m (No. 11); the cell edges are 6.662, 3.786 and 8.360 Å and the angles 90.00°, 109.96° and 90.00°. The asymmetric unit holds Li at (0.114, 0.250, 0.105), Ce at (0.251, 0.250, 0.754), Mn at (0.312, 0.750, 0.344), S at (0.093, 0.250, 0.374), S at (0.273, 0.750, 0.033) and S at (0.475, 0.750, 0.633).

The raw formation energy is -1.1649 eV per atom. For the density of states at the Fermi level, the calculation gives 1.038 states/eV per atom.

***

Entry 3:
Li3Ce2MnS6 | PBE-GGA | relaxed

The structure belongs to space group C2/m (No. 12); the cell edges are 6.749, 11.694 and 6.539 Å and the angles 90.00°, 109.84° and 90.00°. The asymmetric unit holds Li at (0.000, 0.000, 0.000), Li at (0.000, 0.341, 0.000), Ce at (0.000, 0.167, 0.500), Mn at (0.000, 0.500, 0.500), S at (0.238, 0.500, 0.252) and S at (0.243, 0.340, 0.751).

The raw formation energy is -1.4562 eV per atom. For the density of states at the Fermi level, the calculation gives 0.534 states/eV per atom.

***

Entry 4:
LiCeScMn | PBE-GGA | relaxed

The structure belongs to space group F-43m (No. 216); the cell edges are 6.797, 6.797 and 6.797 Å and the angles 90.00°, 90.00° and 90.00°. The asymmetric unit holds Li at (0.000, 0.000, 0.000), Ce at (0.250, 0.250, 0.250), Sc at (0.250, 0.250, 0.750) and Mn at (0.000, 0.000, 0.500).

For the density of states at the Fermi level, the calculation gives 0.524 states/eV per atom. As for the energy relative to the elements: 0.1168 eV/atom.

***

Entry 5:
LiCe2MnSe5 | PBE-GGA | relaxed

The structure belongs to space group Cmc2_1 (No. 36); the cell edges are 4.115, 17.657 and 11.316 Å and the angles 90.00°, 90.00° and 90.00°. The asymmetric unit holds Li at (0.000, 0.218, 0.000), Ce at (0.000, 0.112, 0.302), Ce at (0.000, 0.123, 0.685), Mn at (0.000, 0.406, 0.483), Se at (0.000, 0.031, 0.060), Se at (0.000, 0.297, 0.338), Se at (0.000, 0.308, 0.652), Se at (0.000, 0.359, 0.996) and Se at (0.000, 0.484, 0.293).

The raw formation energy is -1.3788 eV per atom. For the density of states at the Fermi level, the calculation gives 1.299 states/eV per atom.

***

Entry 6:
Li3Ce3MnSe8 | PBE-GGA | relaxed

The structure belongs to space group R-3m (No. 166, hexagonal axes); the cell edges are 8.2048, 8.2048 and 19.2315 Å and the angles 90.00°, 90.00° and 120.00°. The asymmetric unit holds Li at (0.0000, 0.5000, 0.0000), Ce at (0.0000, 0.5000, 0.5000), Mn at (0.0000, 0.0000, 0.5000), Se at (0.0000, 0.0000, 0.2545) and Se at (0.0213, 0.5106, 0.2474).

The raw formation energy is -1.3746 eV per atom. For the density of states at the Fermi level, the calculation gives 0.985 states/eV per atom.

***

Entry 7:
LiCeSmMn | PBE-GGA | relaxed

The structure belongs to space group F-43m (No. 216); the cell edges are 7.147, 7.147 and 7.147 Å and the angles 90.00°, 90.00° and 90.00°. The asymmetric unit holds Li at (0.000, 0.000, 0.000), Ce at (0.250, 0.250, 0.250), Sm at (0.250, 0.250, 0.750) and Mn at (0.000, 0.000, 0.500).

For the density of states at the Fermi level, the calculation gives 1.620 states/eV per atom. As for the energy relative to the elements: 0.1943 eV/atom.

***

Entry 8:
LiCeMnSn | PBE-GGA | relaxed

The structure belongs to space group F-43m (No. 216); the cell edges are 6.735, 6.735 and 6.735 Å and the angles 90.00°, 90.00° and 90.00°. The asymmetric unit holds Li at (0.000, 0.000, 0.000), Ce at (0.250, 0.250, 0.250), Mn at (0.000, 0.000, 0.500) and Sn at (0.250, 0.250, 0.750).

For the density of states at the Fermi level, the calculation gives 0.878 states/eV per atom. As for the energy relative to the elements: -0.2217 eV/atom.

***

Entry 9:
LiTbCeMn | PBE-GGA | relaxed

The structure belongs to space group F-43m (No. 216); the cell edges are 7.068, 7.068 and 7.068 Å and the angles 90.00°, 90.00° and 90.00°. The asymmetric unit holds Li at (0.000, 0.000, 0.000), Tb at (0.250, 0.250, 0.750), Ce at (0.250, 0.250, 0.250) and Mn at (0.000, 0.000, 0.500).

For the density of states at the Fermi level, the calculation gives 1.130 states/eV per atom. As for the energy relative to the elements: 0.1631 eV/atom.

***

Entry 10:
LiCeTmMn | PBE-GGA | relaxed

The structure belongs to space group F-43m (No. 216); the cell edges are 6.989, 6.989 and 6.989 Å and the angles 90.00°, 90.00° and 90.00°. The asymmetric unit holds Li at (0.000, 0.000, 0.000), Ce at (0.250, 0.250, 0.750), Tm at (0.250, 0.250, 0.250) and Mn at (0.000, 0.000, 0.500).

For the density of states at the Fermi level, the calculation gives 0.822 states/eV per atom. As for the energy relative to the elements: 0.1321 eV/atom.

***

Entry 11:
Li3Ce2MoN6 | PBE-GGA | relaxed

The structure belongs to space group C2/m (No. 12); the cell edges are 5.747, 10.282 and 5.326 Å and the angles 90.00°, 108.01° and 90.00°. The asymmetric unit holds Li at (0.000, 0.000, 0.000), Li at (0.000, 0.373, 0.000), Ce at (0.000, 0.168, 0.500), Mo at (0.000, 0.500, 0.500), N at (0.213, 0.354, 0.720) and N at (0.243, 0.500, 0.281).

The raw formation energy is -0.6986 eV per atom. For the density of states at the Fermi level, the calculation gives 0.764 states/eV per atom.

***

> What is the formula in the eighth record?

LiCeMnSn